(1)
ScCr2In | PBE | relaxed

```
data_ScCr2In
_cell_length_a 7.4556
_cell_length_b 7.4556
_cell_length_c 5.9134
_cell_angle_alpha 90.00
_cell_angle_beta 90.00
_cell_angle_gamma 90.00
_symmetry_space_group_name_H-M 'I -4 2 d'
_symmetry_Int_Tables_number 122
_symmetry_space_group_name_Hall 'I -4 2bw'
loop_
_atom_site_label
_atom_site_type_symbol
_atom_site_fract_x
_atom_site_fract_y
_atom_site_fract_z
Sc1 Sc 0.0000 0.0000 0.0000
Cr1 Cr 0.2493 0.7500 0.6250
In1 In 0.0000 0.0000 0.5000
```

---

(2)
TbGaRu2C | PBE | relaxed

```
data_TbGaRu2C
_cell_length_a 3.9285
_cell_length_b 11.1238
_cell_length_c 7.3302
_cell_angle_alpha 90.00
_cell_angle_beta 90.00
_cell_angle_gamma 90.00
_symmetry_space_group_name_H-M 'C m c m'
_symmetry_Int_Tables_number 63
_symmetry_space_group_name_Hall '-C 2c 2'
loop_
_atom_site_label
_atom_site_type_symbol
_atom_site_fract_x
_atom_site_fract_y
_atom_site_fract_z
Tb1 Tb 0.0000 0.0460 0.2500
Ga1 Ga 0.0000 0.2315 0.7500
Ru1 Ru 0.0000 0.3370 0.0572
C1 C 0.0000 0.5000 0.0000
```

---

(3)
CeDyInPt | PBE | relaxed

```
data_CeDyInPt
_cell_length_a 7.3532
_cell_length_b 7.3532
_cell_length_c 7.3532
_cell_angle_alpha 90.00
_cell_angle_beta 90.00
_cell_angle_gamma 90.00
_symmetry_space_group_name_H-M 'F -4 3 m'
_symmetry_Int_Tables_number 216
_symmetry_space_group_name_Hall 'F -4 2 3'
loop_
_atom_site_label
_atom_site_type_symbol
_atom_site_fract_x
_atom_site_fract_y
_atom_site_fract_z
Ce1 Ce 0.0000 0.0000 0.0000
Dy1 Dy 0.0000 0.0000 0.5000
In1 In 0.2500 0.2500 0.2500
Pt1 Pt 0.2500 0.2500 0.7500
```

---

Formation energy, record by record: 2.870 -1.927 -2.496 eV per formula unit
Total DFT energy (no corrections), record by record: -6.3617 -7.4719 -5.4527 eV per atom